1.
# CaTb2Rh2 GGA-PBE optimized geometry
# Energy above the lowest structure with this stoichiometry in meV per atom: 31
# Formation enthalpy at 0 K in eV per formula unit: -2.75
data_CaTb2Rh2
_chemical_formula_sum 'Ca4 Tb8 Rh8'
_space_group_name_H-M_alt 'C 1 2/m 1'
_space_group_IT_number 12
_cell_length_a 11.5824
_cell_length_b 4.4212
_cell_length_c 10.1843
_cell_angle_alpha 90.00
_cell_angle_beta 115.86
_cell_angle_gamma 90.00
loop_
_space_group_symop_operation_xyz
'x,y,z'
'-x,-y,-z'
'-x,y,-z'
'x,-y,z'
'x+1/2,y+1/2,z'
'-x+1/2,-y+1/2,-z'
'-x+1/2,y+1/2,-z'
'x+1/2,-y+1/2,z'
loop_
_atom_site_label
_atom_site_type_symbol
_atom_site_fract_x
_atom_site_fract_y
_atom_site_fract_z
Ca1 Ca 0.2064 0.0000 0.3632
Tb1 Tb 0.0280 0.5000 0.6978
Tb2 Tb 0.1779 0.5000 0.0864
Rh1 Rh 0.0545 0.0000 0.9010
Rh2 Rh 0.1226 0.0000 0.6129

***

2.
# CrHS2 GGA-PBE optimized geometry
# Energy above the lowest structure with this stoichiometry in meV per atom: 791
data_CrHS2
_chemical_formula_sum 'Cr1 H1 S2'
_space_group_name_H-M_alt 'P 4/m m m'
_space_group_IT_number 123
_space_group_name_Hall '-P 4 2'
_cell_length_a 3.2117
_cell_length_b 3.2117
_cell_length_c 4.6864
_cell_angle_alpha 90.00
_cell_angle_beta 90.00
_cell_angle_gamma 90.00
loop_
_atom_site_label
_atom_site_type_symbol
_atom_site_fract_x
_atom_site_fract_y
_atom_site_fract_z
Cr1 Cr 0.0000 0.0000 0.0000
H1 H 0.5000 0.5000 0.5000
S1 S 0.0000 0.0000 0.5000
S2 S 0.5000 0.5000 0.0000

***

3.
# Fe2BC GGA-PBE optimized geometry
# Formation enthalpy at 0 K in eV per formula unit: 2.03
data_Fe2BC
_chemical_formula_sum 'Fe8 B4 C4'
_space_group_name_H-M_alt 'F m -3 m'
_space_group_IT_number 225
_space_group_name_Hall '-F 4 2 3'
_cell_length_a 4.9532
_cell_length_b 4.9532
_cell_length_c 4.9532
_cell_angle_alpha 90.00
_cell_angle_beta 90.00
_cell_angle_gamma 90.00
loop_
_atom_site_label
_atom_site_type_symbol
_atom_site_fract_x
_atom_site_fract_y
_atom_site_fract_z
Fe1 Fe 0.2500 0.2500 0.2500
B1 B 0.0000 0.0000 0.0000
C1 C 0.0000 0.0000 0.5000

***

4.
# RbYSe GGA-PBE optimized geometry
# E_form (uncorrected) in kcal/mol of atoms: -24.85
data_RbYSe
_chemical_formula_sum 'Rb4 Y4 Se4'
_space_group_name_H-M_alt 'C 1 m 1'
_space_group_IT_number 8
_cell_length_a 5.6915
_cell_length_b 5.6902
_cell_length_c 14.6443
_cell_angle_alpha 90.00
_cell_angle_beta 92.44
_cell_angle_gamma 90.00
loop_
_space_group_symop_operation_xyz
'x,y,z'
'x,-y,z'
'x+1/2,y+1/2,z'
'x+1/2,-y+1/2,z'
loop_
_atom_site_label
_atom_site_type_symbol
_atom_site_fract_x
_atom_site_fract_y
_atom_site_fract_z
Rb1 Rb 0.0000 0.0000 0.0000
Rb2 Rb 0.0336 0.5000 0.2917
Y1 Y 0.0012 0.0000 0.5680
Y2 Y 0.0179 0.5000 0.7236
Se1 Se 0.0230 0.0000 0.7664
Se2 Se 0.4961 0.0000 0.5251

***

5.
# TcMoH2I GGA-PBE optimized geometry
# Energy in eV for the cell shown: -22.8
data_TcMoH2I
_chemical_formula_sum 'Tc1 Mo1 H2 I1'
_space_group_name_H-M_alt 'P 4/m m m'
_space_group_IT_number 123
_space_group_name_Hall '-P 4 2'
_cell_length_a 3.6535
_cell_length_b 3.6535
_cell_length_c 5.9128
_cell_angle_alpha 90.00
_cell_angle_beta 90.00
_cell_angle_gamma 90.00
loop_
_atom_site_label
_atom_site_type_symbol
_atom_site_fract_x
_atom_site_fract_y
_atom_site_fract_z
Tc1 Tc 0.0000 0.0000 0.0000
Mo1 Mo 0.5000 0.5000 0.0000
H1 H 0.0000 0.5000 0.5000
I1 I 0.5000 0.5000 0.5000

***

6.
# KTc GGA-PBE optimized geometry
# Energy above the lowest structure with this stoichiometry in meV per atom: 968
# Formation enthalpy at 0 K in eV per formula unit: 3.45
data_KTc
_chemical_formula_sum 'K4 Tc4'
_space_group_name_H-M_alt 'P 42/m n m'
_space_group_IT_number 136
_space_group_name_Hall '-P 4n 2n'
_cell_length_a 7.0369
_cell_length_b 7.0369
_cell_length_c 6.8802
_cell_angle_alpha 90.00
_cell_angle_beta 90.00
_cell_angle_gamma 90.00
loop_
_atom_site_label
_atom_site_type_symbol
_atom_site_fract_x
_atom_site_fract_y
_atom_site_fract_z
K1 K 0.1741 0.1741 0.0000
Tc1 Tc 0.1025 0.1025 0.5000